Record 1
Here is crystalline LiMnAg2 at its relaxed geometry from Alexandria via LeMat-Bulk. Energies are from PBE-GGA.

## Properties
- ΔH_f (0 K) (kcal/mol of atoms) = 2.06
- crystal system = monoclinic
- space-group type = Cm (8)
- E (eV for the cell shown) = -16.4

Structure (POSCAR):
```
LiMnAg2
1.0
-2.8307 -2.8797 -2.9745
-0.4732 -2.2398 -4.4623
1.8742 -4.3332 1.1060
Ag Li Mn
2 1 1
Cartesian
-3.2527 -5.2288 -7.4027 Ag
-1.1185 -6.9779 -4.7734 Ag
-0.6606 -4.8102 -3.1156 Li
-0.4167 -2.2816 -1.6415 Mn
```

Record 2
Here is crystalline Li2MnAg at its relaxed geometry from Alexandria via LeMat-Bulk. Energies are from PBE-GGA.

## Properties
- ΔH_f (0 K) (kcal/mol of atoms) = 3.02
- crystal system = cubic
- space-group type = F-43m (216)
- E (eV for the cell shown) = -15.3

Structure (POSCAR):
```
Li2MnAg
1.0
4.5036 0.0000 0.0000
2.2518 3.9002 0.0000
2.2518 1.3001 3.6772
Ag Li Mn
1 2 1
Cartesian
4.5036 2.6002 1.8386 Ag
0.0000 0.0000 0.0000 Li
6.7554 3.9002 2.7579 Li
2.2518 1.3001 0.9193 Mn
```

Record 3
Here is crystalline LiMn2Ag at its relaxed geometry from Alexandria via LeMat-Bulk. Energies are from PBE-GGA.

## Properties
- ΔH_f (0 K) (kcal/mol of atoms) = 12.88
- crystal system = orthorhombic
- space-group type = Cmmm (65)
- E (eV for the cell shown) = -20.9

Structure (POSCAR):
```
LiMn2Ag
1.0
5.0167 -0.0116 0.0000
-2.8797 4.1079 0.0000
0.0000 0.0000 2.5051
Ag Li Mn
1 1 2
Cartesian
2.5083 -0.0058 1.2526 Ag
-1.4399 2.0539 1.2526 Li
0.0000 0.0000 0.0000 Mn
1.0685 2.0482 0.0000 Mn
```

Record 4
Here is crystalline LiMn2AgN at its relaxed geometry from Alexandria via LeMat-Bulk. Energies are from PBE-GGA.

## Properties
- E above lowest polymorph (meV per atom) = 0
- crystal system = tetragonal
- space-group type = P4/mmm (123)
- E_form (uncorrected) (meV/atom) = -169
- E (eV for the cell shown) = -32.3

Structure (POSCAR):
```
LiMn2AgN
1.0
-3.2970 0.0910 1.8545
-0.8524 -3.4316 -1.3471
1.8500 -1.7851 3.3767
Mn Li Ag N
2 1 1 1
Cartesian
-0.4262 -1.7158 -0.6736 Mn
-1.6485 0.0455 0.9272 Mn
0.9250 -0.8926 1.6884 Li
-1.1497 -2.5629 1.9420 Ag
0.0000 0.0000 0.0000 N
```

Record 5
Here is crystalline LiMn2AgN at its relaxed geometry from Alexandria via LeMat-Bulk. Energies are from PBE-GGA.

## Properties
- E above lowest polymorph (meV per atom) = 1834
- crystal system = tetragonal
- space-group type = P4/mmm (123)
- E_form (uncorrected) (meV/atom) = 1666
- E (eV for the cell shown) = -23.1

Structure (POSCAR):
```
LiMn2AgN
1.0
-4.1434 0.4265 -0.8489
0.5468 -0.9335 -3.1378
-0.6420 -4.0569 1.0951
Mn Li Ag N
2 1 1 1
Cartesian
-0.3210 -2.0285 0.5475 Mn
-2.0717 0.2133 -0.4244 Mn
0.0000 0.0000 0.0000 Li
-2.1193 -2.2819 -1.4458 Ag
0.2734 -0.4667 -1.5689 N
```

Record 6
Here is crystalline Li2MnAgPb at its relaxed geometry from Alexandria via LeMat-Bulk. Energies are from PBE-GGA.

## Properties
- ΔH_f (0 K) (kcal/mol of atoms) = 7.35
- crystal system = tetragonal
- space-group type = P4/mmm (123)
- E (eV for the cell shown) = -18.0

Structure (POSCAR):
```
Li2MnAgPb
1.0
4.6875 0.0000 0.0000
0.0000 5.1121 0.0000
0.0000 0.0000 4.6875
Pb Mn Ag Li
1 1 1 2
Cartesian
2.3438 2.5561 2.3438 Pb
0.0000 2.5561 0.0000 Mn
0.0000 0.0000 0.0000 Ag
0.0000 0.0000 2.3438 Li
2.3438 0.0000 0.0000 Li
```

Record 7
Here is crystalline Li2MnAgPd4 at its relaxed geometry from Alexandria via LeMat-Bulk. Energies are from PBE-GGA.

## Properties
- ΔH_f (0 K) (kcal/mol of atoms) = -2.04
- crystal system = orthorhombic
- space-group type = Cmcm (63)
- E (eV for the cell shown) = -74.7

Structure (POSCAR):
```
Li2MnAgPd4
1.0
-2.3537 -1.0585 -1.1698
-0.9742 -1.3755 6.6363
-5.9886 11.6252 1.5304
Li Mn Ag Pd
4 2 2 8
Cartesian
-5.1180 5.5204 5.3026 Li
-2.3280 0.0397 1.2163 Li
-4.1985 3.6708 1.6944 Li
-6.9885 9.1514 5.7806 Li
-5.0917 8.1873 2.8365 Mn
-4.2248 1.0038 4.1604 Mn
-7.0025 7.0082 4.3163 Ag
-2.3140 2.1830 2.6806 Ag
-1.9205 -0.2566 4.0962 Pd
-5.4234 5.6185 2.3966 Pd
-7.3961 9.4478 2.9007 Pd
-3.8931 3.5727 4.6003 Pd
-2.9943 5.8126 0.7652 Pd
0.0000 0.0000 0.0000 Pd
-6.5807 6.8688 7.0254 Pd
-2.7358 2.3223 -0.0285 Pd
```

Record 8
Here is crystalline LiMn2AgPt at its relaxed geometry from Alexandria via LeMat-Bulk. Energies are from PBE-GGA.

## Properties
- ΔH_f (0 K) (kcal/mol of atoms) = 12.02
- crystal system = tetragonal
- space-group type = P4/mmm (123)
- E (eV for the cell shown) = -26.5

Structure (POSCAR):
```
LiMn2AgPt
1.0
-0.7490 -3.8683 2.8631
3.8148 1.6256 3.1943
-3.2498 2.5437 2.5866
Mn Ag Pt Li
2 1 1 1
Cartesian
-1.6249 1.2719 1.2933 Mn
-0.3745 -1.9341 1.4316 Mn
1.9074 0.8128 1.5971 Ag
0.0000 0.0000 0.0000 Pt
-0.0920 0.1505 4.3220 Li
```

Which value of E does entry 2 give? -15.3 eV for the cell shown

Which of these has the highest E? Li2MnAg